Below is a PBEsol-optimized structure of NaGaGe2O6, with properties calculated at the SCAN level.

Output
Mass density: 4.83 g cm⁻³
Energy: -11.551 eV/atom

Structure (CIF):
```
data_NaGaGe2O6
_chemical_formula_sum 'Na2 Ga2 Ge4 O12'
_symmetry_space_group_name_H-M 'P 1'
_symmetry_Int_Tables_number 1
_cell_length_a 5.481
_cell_length_b 6.655
_cell_length_c 6.655
_cell_angle_alpha 82.85
_cell_angle_beta 76.93
_cell_angle_gamma 76.93
loop_
_symmetry_equiv_pos_as_xyz
'x,y,z'
loop_
_atom_site_label
_atom_site_type_symbol
_atom_site_fract_x
_atom_site_fract_y
_atom_site_fract_z
Na1 Na 0.250 0.304 0.696
Na2 Na 0.750 0.696 0.304
Ga1 Ga 0.250 0.907 0.093
Ga2 Ga 0.750 0.093 0.907
Ge1 Ge 0.278 0.384 0.191
Ge2 Ge 0.222 0.809 0.616
Ge3 Ge 0.722 0.616 0.809
Ge4 Ge 0.778 0.191 0.384
O1 O 0.198 0.632 0.079
O2 O 0.302 0.921 0.368
O3 O 0.802 0.368 0.921
O4 O 0.698 0.079 0.632
O5 O 0.373 0.184 0.020
O6 O 0.127 0.980 0.816
O7 O 0.627 0.816 0.980
O8 O 0.873 0.020 0.184
O9 O 0.494 0.374 0.353
O10 O 0.006 0.647 0.626
O11 O 0.506 0.626 0.647
O12 O 0.994 0.353 0.374
```